# meta-GGA SCAN Mn2AgMo, single point on PBEsol structure
# excess energy over the best structure of this formula in the dataset	260	meV/atom
# DFT formation energy	1.57	eV/f.u.
# size of the total moment	0.49	Bohr magnetons per cell
data_Mn2AgMo
_chemical_formula_sum 'Mn2 Ag1 Mo1'
_cell_length_a 2.7152
_cell_length_b 3.4883
_cell_length_c 5.6365
_cell_angle_alpha 90.00
_cell_angle_beta 90.04
_cell_angle_gamma 90.00
_space_group_name_H-M_alt 'P 1 m 1'
_space_group_IT_number 6
_space_group_name_Hall 'P -2y'
loop_
_atom_site_label
_atom_site_type_symbol
_atom_site_fract_x
_atom_site_fract_y
_atom_site_fract_z
Mn1 Mn 0.0000 0.0000 0.0000
Mn2 Mn 0.4685 0.5000 0.1720
Ag1 Ag 0.9722 0.0000 0.4611
Mo1 Mo 0.4674 0.5000 0.7703